Arrangement 1

A plane-wave DFT calculation with GGA-PBE was carried out for a relaxed LiSn2Br crystal.

a = 5.2707 Å, b = 5.2707 Å, c = 5.2707 Å
α = 60.00°, β = 60.00°, γ = 60.00°
Closest atoms and distances in Å follow each position.
Fractional positions:
Li 0.0000 0.0000 0.0000  8 Sn 3.23
Sn 0.2500 0.2500 0.2500  4 Br 3.23, 4 Li 3.23
Sn 0.7500 0.7500 0.7500  4 Li 3.23, 4 Br 3.23
Br 0.5000 0.5000 0.5000  8 Sn 3.23

## Properties
The total magnetization is 0.0001 μB/atom. The calculation puts the volume at 25.9 A^3/atom.

=====

Arrangement 2

A plane-wave DFT calculation with GGA-PBE was carried out for a relaxed LiSn2Br crystal.

a = 14.9855 Å, b = 14.9855 Å, c = 14.9855 Å
α = 164.29°, β = 164.29°, γ = 22.29°
Closest atoms and distances in Å follow each position.
Fractional positions:
Li 0.0000 0.0000 0.0000  4 Br 2.90
Li 0.7500 0.2500 0.5000  4 Br 2.90
Sn 0.1208 0.6250 0.9958  4 Sn 2.87-2.92
Sn 0.3750 0.3708 0.4958  4 Sn 2.87-2.92
Sn 0.6292 0.1250 0.0042  4 Sn 2.87-2.92
Sn 0.8750 0.8792 0.5042  4 Sn 2.87-2.92
Br 0.2500 0.7500 0.5000  4 Li 2.90
Br 0.5000 0.5000 0.0000  4 Li 2.90

## Properties
The total magnetization is 0.0000 μB/atom. The calculation puts the volume at 30.8 A^3/atom.

=====

The energy of each structure relative to the most stable one, in meV per atom, is as follows: arrangement 1 458; arrangement 2 0.

=====

Arrangement 1

A plane-wave DFT calculation with GGA-PBE was carried out for a relaxed LiSn2Br5 crystal.

a = 11.7414 Å, b = 11.7414 Å, c = 13.8270 Å
α = 121.15°, β = 121.15°, γ = 45.18°
Closest atoms and distances in Å follow each position.
Fractional positions:
Li 0.0769 0.3202 0.3252  4 Br 2.54-2.58
Li 0.3202 0.0769 0.8252  4 Br 2.54-2.58
Li 0.6798 0.9231 0.1748  4 Br 2.54-2.58
Li 0.9231 0.6798 0.6748  4 Br 2.54-2.58
Sn 0.2087 0.7358 0.5339  3 Br 2.72-2.97
Sn 0.2196 0.4889 0.1641  3 Br 2.80-2.84
Sn 0.2642 0.7913 0.9661  3 Br 2.72-2.97
Sn 0.4889 0.2196 0.6641  3 Br 2.80-2.84
Sn 0.5111 0.7804 0.3359  3 Br 2.80-2.84
Sn 0.7358 0.2087 0.0339  3 Br 2.72-2.97
Sn 0.7804 0.5111 0.8359  3 Br 2.80-2.84
Sn 0.7913 0.2642 0.4661  3 Br 2.72-2.97
Br 0.0854 0.0918 0.1363  1 Li 2.58
Br 0.0918 0.0854 0.6363  1 Li 2.58
Br 0.1618 0.2599 0.9822  1 Li 2.55, 1 Sn 2.80
Br 0.1853 0.4504 0.3319  1 Li 2.54, 1 Sn 2.84
Br 0.2187 0.5603 0.6960  1 Li 2.57, 1 Sn 2.83
Br 0.2599 0.1618 0.4822  1 Li 2.55, 1 Sn 2.80
Br 0.3370 0.6102 0.0829  1 Sn 2.72
Br 0.3898 0.6630 0.4171  1 Sn 2.72
Br 0.4397 0.7813 0.8040  1 Li 2.57, 1 Sn 2.83
Br 0.4504 0.1853 0.8319  1 Li 2.54, 1 Sn 2.84
Br 0.5496 0.8147 0.1681  1 Li 2.54, 1 Sn 2.84
Br 0.5603 0.2187 0.1960  1 Li 2.57, 1 Sn 2.83
Br 0.6102 0.3370 0.5829  1 Sn 2.72
Br 0.6630 0.3898 0.9171  1 Sn 2.72
Br 0.7401 0.8382 0.5178  1 Li 2.55, 1 Sn 2.80
Br 0.7813 0.4397 0.3040  1 Li 2.57, 1 Sn 2.83
Br 0.8147 0.5496 0.6681  1 Li 2.54, 1 Sn 2.84
Br 0.8382 0.7401 0.0178  1 Li 2.55, 1 Sn 2.80
Br 0.9082 0.9146 0.3637  1 Li 2.58
Br 0.9146 0.9082 0.8637  1 Li 2.58

## Properties
The total magnetization is 0.0000 μB/atom. The calculation puts the volume at 35.0 A^3/atom.

=====

Arrangement 2

A plane-wave DFT calculation with GGA-PBE was carried out for a relaxed LiSn2Br5 crystal.

a = 7.2965 Å, b = 7.2965 Å, c = 14.4029 Å
α = 90.00°, β = 90.00°, γ = 132.03°
Closest atoms and distances in Å follow each position.
Fractional positions:
Li 0.2201 0.7799 0.7500  6 Br 2.76-2.99
Li 0.7799 0.2201 0.2500  6 Br 2.76-2.99
Sn 0.1472 0.8528 0.0655  5 Br 2.81-3.01
Sn 0.1472 0.8528 0.4345  5 Br 2.81-3.01
Sn 0.8528 0.1472 0.5655  5 Br 2.81-3.01
Sn 0.8528 0.1472 0.9345  5 Br 2.81-3.01
Br 0.0545 0.9455 0.6227  2 Sn 2.81-2.98, 1 Li 2.87
Br 0.0545 0.9455 0.8773  2 Sn 2.81-2.98, 1 Li 2.87
Br 0.2531 0.7469 0.2500  2 Li 2.99, 2 Sn 3.01
Br 0.3340 0.6660 0.5901  1 Li 2.76, 2 Sn 3.00
Br 0.3340 0.6660 0.9099  1 Li 2.76, 2 Sn 3.00
Br 0.6660 0.3340 0.0901  1 Li 2.76, 2 Sn 3.00
Br 0.6660 0.3340 0.4099  1 Li 2.76, 2 Sn 3.00
Br 0.7469 0.2531 0.7500  2 Li 2.99, 2 Sn 3.01
Br 0.9455 0.0545 0.1227  2 Sn 2.81-2.98, 1 Li 2.87
Br 0.9455 0.0545 0.3773  2 Sn 2.81-2.98, 1 Li 2.87

## Properties
The total magnetization is 0.0000 μB/atom. The calculation puts the volume at 35.6 A^3/atom.

=====

The energy of each structure relative to the most stable one, in meV per atom, is as follows: arrangement 1 0; arrangement 2 8.

=====

Arrangement 1

A plane-wave DFT calculation with GGA-PBE was carried out for a relaxed Li2Sn2Br crystal.

a = 8.3954 Å, b = 8.3954 Å, c = 3.4586 Å
α = 90.00°, β = 90.00°, γ = 90.00°
Closest atoms and distances in Å follow each position.
Fractional positions:
Li 0.1862 0.3138 0.0000  6 Sn 2.87-3.15
Li 0.3138 0.8138 0.0000  6 Sn 2.87-3.15
Li 0.6862 0.1862 0.0000  6 Sn 2.87-3.15
Li 0.8138 0.6862 0.0000  6 Sn 2.87-3.15
Sn 0.1213 0.6213 0.5000  6 Li 2.87-3.15, 1 Sn 2.88
Sn 0.3787 0.1213 0.5000  6 Li 2.87-3.15, 1 Sn 2.88
Sn 0.6213 0.8787 0.5000  6 Li 2.87-3.15, 1 Sn 2.88
Sn 0.8787 0.3787 0.5000  6 Li 2.87-3.15, 1 Sn 2.88
Br 0.0000 0.0000 0.5000  4 Sn 3.34, 2 Br 3.46, 8 Li 3.52
Br 0.5000 0.5000 0.5000  4 Sn 3.34, 2 Br 3.46, 8 Li 3.52

## Properties
The total magnetization is 0.0000 μB/atom. The calculation puts the volume at 24.4 A^3/atom.

=====

Arrangement 2

A plane-wave DFT calculation with GGA-PBE was carried out for a relaxed Li2Sn2Br crystal.

a = 7.8089 Å, b = 7.8089 Å, c = 7.8089 Å
α = 148.93°, β = 148.93°, γ = 44.52°
Closest atoms and distances in Å follow each position.
Fractional positions:
Li 0.2500 0.7500 0.5000  4 Li 2.96, 4 Sn 3.00
Li 0.7500 0.2500 0.5000  4 Li 2.96, 4 Sn 3.00
Sn 0.1015 0.1015 0.0000  1 Sn 2.93, 4 Li 3.00
Sn 0.8985 0.8985 0.0000  1 Sn 2.93, 4 Li 3.00
Br 0.5000 0.5000 0.0000  8 Sn 3.30

## Properties
The total magnetization is 0.0000 μB/atom. The calculation puts the volume at 25.3 A^3/atom.

=====

The energy of each structure relative to the most stable one, in meV per atom, is as follows: arrangement 1 0; arrangement 2 285.

=====

Arrangement 1

A plane-wave DFT calculation with GGA-PBE was carried out for a relaxed Sr2LiBr2 crystal.

a = 8.4651 Å, b = 8.4651 Å, c = 8.4651 Å
α = 144.78°, β = 144.78°, γ = 50.66°
Closest atoms and distances in Å follow each position.
Fractional positions:
Sr 0.1313 0.1313 0.0000  4 Br 3.14
Sr 0.8687 0.8687 0.0000  4 Br 3.14
Li 0.5000 0.5000 0.0000  8 Sr 4.14, 8 Br 4.60
Br 0.2500 0.7500 0.5000  4 Sr 3.14
Br 0.7500 0.2500 0.5000  4 Sr 3.14

## Properties
The total magnetization is 0.0000 μB/atom. The calculation puts the volume at 40.1 A^3/atom.

=====

Arrangement 2

A plane-wave DFT calculation with GGA-PBE was carried out for a relaxed Sr2LiBr2 crystal.

a = 6.3518 Å, b = 6.3518 Å, c = 6.3518 Å
α = 119.81°, β = 119.81°, γ = 90.33°
Closest atoms and distances in Å follow each position.
Fractional positions:
Sr 0.2500 0.7500 0.5000  4 Br 3.21
Sr 0.7500 0.2500 0.5000  4 Br 3.21
Li 0.0000 0.0000 0.0000  2 Br 2.61
Br 0.2915 0.2915 0.0000  1 Li 2.61
Br 0.7085 0.7085 0.0000  1 Li 2.61

## Properties
The total magnetization is 0.4305 μB/atom. The calculation puts the volume at 36.3 A^3/atom.

=====

The energy of each structure relative to the most stable one, in meV per atom, is as follows: arrangement 1 0; arrangement 2 125.

=====

Arrangement 1

A plane-wave DFT calculation with GGA-PBE was carried out for a relaxed SrLi2Br4 crystal.

a = 5.9337 Å, b = 5.9337 Å, c = 6.8968 Å
α = 90.00°, β = 90.00°, γ = 90.00°
Closest atoms and distances in Å follow each position.
Fractional positions:
Sr 0.0000 0.0000 0.0000  4 Br 2.95
Li 0.0000 0.5000 0.5000  4 Br 2.57
Li 0.5000 0.0000 0.5000  4 Br 2.57
Br 0.2624 0.2624 0.2845  2 Li 2.57
Br 0.2624 0.7376 0.7155  2 Li 2.57
Br 0.7376 0.2624 0.7155  2 Li 2.57
Br 0.7376 0.7376 0.2845  2 Li 2.57

## Properties
The total magnetization is 0.0000 μB/atom. The calculation puts the volume at 34.7 A^3/atom.

=====

Arrangement 2

A plane-wave DFT calculation with GGA-PBE was carried out for a relaxed SrLi2Br4 crystal.

a = 7.4013 Å, b = 7.4013 Å, c = 7.2426 Å
α = 102.48°, β = 102.48°, γ = 35.69°
Closest atoms and distances in Å follow each position.
Fractional positions:
Sr 0.0000 0.0000 0.0000  6 Br 3.05-3.12
Li 0.3237 0.3237 0.4188  4 Br 2.51-2.60
Li 0.6763 0.6763 0.5812  4 Br 2.51-2.60
Br 0.1376 0.1376 0.4032  3 Li 2.60
Br 0.3800 0.3800 0.1134  1 Li 2.51
Br 0.6200 0.6200 0.8866  1 Li 2.51
Br 0.8624 0.8624 0.5968  3 Li 2.60

## Properties
The total magnetization is 0.0000 μB/atom. The calculation puts the volume at 32.2 A^3/atom.

=====

The energy of each structure relative to the most stable one, in meV per atom, is as follows: arrangement 1 75; arrangement 2 0.